The following is a DFT calculation (PBE-GGA) of Pr5Y3Ho2 after structural relaxation.

a = 9.1926 Å, b = 9.1926 Å, c = 10.1708 Å
α = 108.23°, β = 108.23°, γ = 107.82°
Atoms (fractional coordinates):
Pr1 0.0160 0.9840 0.7500
Pr2 0.1269 0.3849 0.7621
Pr3 0.2277 0.7723 0.7500
Pr4 0.3849 0.1269 0.2621
Pr5 0.4771 0.5229 0.2500
Pr6 0.5229 0.4771 0.7500
Pr7 0.6151 0.8731 0.7379
Pr8 0.7723 0.2277 0.2500
Pr9 0.8731 0.6151 0.2379
Pr10 0.9840 0.0160 0.2500
Y1 0.2191 0.4679 0.4427
Y2 0.2704 0.7296 0.2500
Y3 0.4679 0.2191 0.9427
Y4 0.5321 0.7809 0.0573
Y5 0.7296 0.2704 0.7500
Y6 0.7809 0.5321 0.5573
Ho1 0.0254 0.2789 0.0604
Ho2 0.2789 0.0254 0.5604
Ho3 0.7211 0.9746 0.4396
Ho4 0.9746 0.7211 0.9396

**DFT formation energy**: 0.1723 eV per atom
**Space group**: C2/c (15)